Entry 1:
Here is a crystal of Sc2AlCdTe relaxed with PBEsol from the Alexandria database. Energies are from SCAN.

* formation energy from raw total energies: 0.120 eV per atom
* volume: 132 Å³ per cell
* density of states at the Fermi level: 0.783 states/eV per atom

Lattice parameters (Å, degrees): 5.3064 5.3064 4.6761 90.00 90.00 90.00
Closest atoms and distances in Å follow each position.
Atoms (fractional coordinates):
Sc 0.0000 0.5000 0.0000  2 Cd 2.65
Sc 0.5000 0.0000 0.0000  2 Cd 2.65
Al 0.0000 0.0000 0.5000  2 Cd 2.34
Cd 0.0000 0.0000 0.0000  2 Al 2.34
Te 0.5000 0.5000 0.5000  8 Sc 3.54, 4 Al 3.75


Entry 2:
Here is a crystal of AlCdSe3 relaxed with PBEsol from the Alexandria database. Energies are from SCAN.

* formation energy from raw total energies: -0.037 eV per atom
* volume: 114 Å³ per cell
* density of states at the Fermi level: 0.753 states/eV per atom

Lattice parameters (Å, degrees): 4.8525 4.8525 4.8525 90.00 90.00 90.00
Closest atoms and distances in Å follow each position.
Atoms (fractional coordinates):
Al 0.0000 0.0000 0.0000  6 Se 2.43
Cd 0.5000 0.5000 0.5000  12 Se 3.43
Se 0.0000 0.0000 0.5000  2 Al 2.43
Se 0.0000 0.5000 0.0000  2 Al 2.43
Se 0.5000 0.0000 0.0000  2 Al 2.43


Entry 3:
Here is a crystal of AlCdSe4 relaxed with PBEsol from the Alexandria database. Energies are from SCAN.

* formation energy from raw total energies: 0.546 eV per atom
* volume: 133 Å³ per cell
* density of states at the Fermi level: 0.611 states/eV per atom

Lattice parameters (Å, degrees): 5.7256 5.7256 5.7256 60.00 60.00 60.00
Closest atoms and distances in Å follow each position.
Atoms (fractional coordinates):
Al 0.0000 0.0000 0.0000  12 Se 3.36, 4 Cd 3.51
Cd 0.7500 0.7500 0.7500  12 Se 3.36, 4 Al 3.51
Se 0.3754 0.3754 0.3754  6 Se 2.85-2.87
Se 0.3754 0.3754 0.8739  6 Se 2.85-2.87
Se 0.3754 0.8739 0.3754  6 Se 2.85-2.87
Se 0.8739 0.3754 0.3754  6 Se 2.85-2.87


Entry 4:
Here is a crystal of AlCdSi3 relaxed with PBEsol from the Alexandria database. Energies are from SCAN.

* formation energy from raw total energies: 0.995 eV per atom
* volume: 106 Å³ per cell
* density of states at the Fermi level: 0.491 states/eV per atom

Lattice parameters (Å, degrees): 4.7262 4.7262 4.7262 90.00 90.00 90.00
Closest atoms and distances in Å follow each position.
Atoms (fractional coordinates):
Al 0.0000 0.0000 0.0000  6 Si 2.36
Cd 0.5000 0.5000 0.5000  12 Si 3.34
Si 0.0000 0.0000 0.5000  2 Al 2.36
Si 0.0000 0.5000 0.0000  2 Al 2.36
Si 0.5000 0.0000 0.0000  2 Al 2.36


Entry 5:
Here is a crystal of AlCdSi2 relaxed with PBEsol from the Alexandria database. Energies are from SCAN.

* formation energy from raw total energies: 0.458 eV per atom
* volume: 68 Å³ per cell
* density of states at the Fermi level: 0.333 states/eV per atom

Lattice parameters (Å, degrees): 2.7937 2.7937 8.7723 90.00 90.00 90.00
Closest atoms and distances in Å follow each position.
Atoms (fractional coordinates):
Al 0.0000 0.0000 0.0000  8 Si 2.78, 4 Al 2.79
Cd 0.0000 0.0000 0.5000  4 Cd 2.79
Si 0.5000 0.5000 0.2225  4 Al 2.78, 4 Si 2.79
Si 0.5000 0.5000 0.7775  4 Al 2.78, 4 Si 2.79


Entry 6:
Here is a crystal of AlCd2Si relaxed with PBEsol from the Alexandria database. Energies are from SCAN.

* formation energy from raw total energies: 0.328 eV per atom
* volume: 76 Å³ per cell
* density of states at the Fermi level: 0.364 states/eV per atom

Lattice parameters (Å, degrees): 4.8056 4.8056 5.6722 100.84 100.84 36.08
Closest atoms and distances in Å follow each position.
Atoms (fractional coordinates):
Al 0.0000 0.0000 0.0000  3 Si 2.71-2.79, 3 Cd 2.90-2.98, 2 Al 2.98
Cd 0.2485 0.2485 0.7312  5 Cd 2.90-2.98, 3 Al 2.90-2.98, 2 Si 3.02
Cd 0.4921 0.4921 0.4718  5 Cd 2.90-2.98, 3 Si 2.92-3.03, 2 Al 3.08
Si 0.7420 0.7420 0.1921  3 Al 2.71-2.79, 5 Cd 2.92-3.03, 2 Si 2.98


Entry 7:
Here is a crystal of Sm2AlCd relaxed with PBEsol from the Alexandria database. Energies are from SCAN.

* volume: 101 Å³ per cell
* total DFT energy (no corrections): -128.671 eV/f.u.
* density of states at the Fermi level: 0.847 states/eV per atom

Lattice parameters (Å, degrees): 5.2251 5.2251 5.2251 60.00 60.00 60.00
Closest atoms and distances in Å follow each position.
Atoms (fractional coordinates):
Sm 0.2500 0.2500 0.2500  4 Cd 3.20, 4 Al 3.20
Sm 0.7500 0.7500 0.7500  4 Cd 3.20, 4 Al 3.20
Al 0.0000 0.0000 0.0000  8 Sm 3.20
Cd 0.5000 0.5000 0.5000  8 Sm 3.20


Entry 8:
Here is a crystal of AlCdSn3 relaxed with PBEsol from the Alexandria database. Energies are from SCAN.

* volume: 157 Å³ per cell
* total DFT energy (no corrections): -141.800 eV/f.u.
* density of states at the Fermi level: 0.565 states/eV per atom

Lattice parameters (Å, degrees): 5.3931 5.3931 5.3931 90.00 90.00 90.00
Closest atoms and distances in Å follow each position.
Atoms (fractional coordinates):
Al 0.0000 0.0000 0.0000  12 Sn 3.81
Cd 0.5000 0.5000 0.5000  6 Sn 2.70
Sn 0.0000 0.5000 0.5000  2 Cd 2.70
Sn 0.5000 0.0000 0.5000  2 Cd 2.70
Sn 0.5000 0.5000 0.0000  2 Cd 2.70